Compound: AcPr6Er4
Source: the Alexandria database
Functional: PBE-GGA
Structure: optimized geometry

Cell and atoms, written as POSCAR:
```
AcPr6Er4
1.0
-3.329 3.329 8.919
3.329 -3.329 8.919
3.329 3.329 -8.919
Ac Pr Er
1 6 4
direct
0.000 0.000 0.000 Ac
0.000 0.500 0.500 Pr
0.184 0.544 0.000 Pr
0.456 0.456 0.640 Pr
0.500 0.000 0.500 Pr
0.544 0.184 0.000 Pr
0.816 0.816 0.360 Pr
0.008 0.008 0.371 Er
0.364 0.992 0.000 Er
0.636 0.636 0.629 Er
0.992 0.364 0.000 Er
```

Summary:
As for the total energy: -47.5 eV for the cell shown. The calculation puts the total magnetic moment at 0.0 μB per formula unit. The calculation puts the energy of formation at 0.32 eV/atom.